Record 1
This record from the Alexandria database describes a geometry-optimized Ca2YSi3Pt12 structure. The functional is PBE-GGA.

Properties
- Raw total energy: -6.051 eV/atom
- E_form (uncorrected): -0.538 eV per atom

abc: 6.862 6.862 6.862
angles: 83.97 83.97 83.97
Positions (direct):
1 Ca 0.620 0.620 0.620
2 Ca 0.380 0.380 0.380
3 Y 0.000 0.000 0.000
4 Si 0.500 0.000 0.000
5 Si 0.000 0.500 0.000
6 Si 0.000 0.000 0.500
7 Pt 0.365 0.365 0.924
8 Pt 0.817 0.817 0.332
9 Pt 0.332 0.817 0.817
10 Pt 0.924 0.365 0.365
11 Pt 0.817 0.332 0.817
12 Pt 0.365 0.924 0.365
13 Pt 0.635 0.635 0.076
14 Pt 0.183 0.183 0.668
15 Pt 0.668 0.183 0.183
16 Pt 0.076 0.635 0.635
17 Pt 0.183 0.668 0.183
18 Pt 0.635 0.076 0.635

=====

Record 2
This record from the Alexandria database describes a geometry-optimized NdThPtI structure. The functional is PBE-GGA.

Properties
- Raw total energy: -5.953 eV/atom
- E_form (uncorrected): -1.008 eV per atom

abc: 4.246 4.248 8.534
angles: 90.01 104.41 119.95
Positions (direct):
1 Nd 0.508 0.152 0.676
2 Th 0.094 0.945 0.054
3 Pt 0.309 0.552 0.877
4 I 0.967 0.382 0.363

=====

Record 3
This record from the Alexandria database describes a geometry-optimized MgIrSe2 structure. The functional is PBE-GGA.

Properties
- Raw total energy: -4.320 eV/atom
- E_form (uncorrected): 0.036 eV per atom

abc: 3.542 7.094 3.606
angles: 90.00 90.00 90.00
Positions (direct):
1 Ir 0.500 0.000 0.500
2 Mg 0.000 0.500 0.500
3 Se 0.000 0.000 0.000
4 Se 0.500 0.500 0.000

=====

Record 4
This record from the Alexandria database describes a geometry-optimized Zr3TiFe structure. The functional is PBE-GGA.

Properties
- Raw total energy: -7.126 eV/atom
- Energy of formation: 122.9 kJ/mol of atoms

abc: 4.840 4.840 4.840
angles: 90.00 90.00 90.00
Positions (direct):
1 Fe 0.500 0.500 0.500
2 Zr 0.000 0.500 0.000
3 Zr 0.000 0.000 0.500
4 Zr 0.500 0.000 0.000
5 Ti 0.000 0.000 0.000

=====

Record 5
This record from the Alexandria database describes a geometry-optimized TeP2 structure. The functional is PBE-GGA.

Properties
- Raw total energy: -4.201 eV/atom
- E_form (uncorrected): 0.453 eV per atom

abc: 5.553 5.553 5.553
angles: 115.83 115.83 97.39
Positions (direct):
1 Te 0.250 0.250 0.000
2 Te 0.750 0.750 0.000
3 P 0.373 0.873 0.247
4 P 0.627 0.127 0.753
5 P 0.127 0.373 0.500
6 P 0.873 0.627 0.500

=====

Record 6
This record from the Alexandria database describes a geometry-optimized SrH structure. The functional is PBE-GGA.

Properties
- Raw total energy: -2.877 eV/atom

abc: 7.582 7.582 7.582
angles: 90.00 90.00 90.00
Positions (direct):
1 Sr 0.318 0.318 0.318
2 Sr 0.318 0.682 0.682
3 Sr 0.682 0.318 0.682
4 Sr 0.682 0.682 0.318
5 Sr 0.818 0.818 0.818
6 Sr 0.818 0.182 0.182
7 Sr 0.182 0.818 0.182
8 Sr 0.182 0.182 0.818
9 H 0.133 0.133 0.133
10 H 0.133 0.867 0.867
11 H 0.867 0.133 0.867
12 H 0.867 0.867 0.133
13 H 0.633 0.633 0.633
14 H 0.633 0.367 0.367
15 H 0.367 0.633 0.367
16 H 0.367 0.367 0.633

=====

Record 7
This record from the Alexandria database describes a geometry-optimized NbTeAs2 structure. The functional is PBE-GGA.

Properties
- Raw total energy: -5.275 eV/atom
- E_form (uncorrected): 0.353 eV per atom

abc: 6.279 6.279 7.485
angles: 65.20 65.20 90.00
Positions (direct):
1 Nb 0.500 0.500 0.000
2 Nb 0.250 0.750 0.500
3 Te 0.000 0.000 0.000
4 Te 0.750 0.250 0.500
5 As 0.571 0.125 0.250
6 As 0.179 0.625 0.250
7 As 0.375 0.429 0.750
8 As 0.875 0.821 0.750

=====

Record 8
This record from the Alexandria database describes a geometry-optimized AcIr2C structure. The functional is PBE-GGA.

Properties
- Raw total energy: -7.276 eV/atom
- Energy of formation: 47.0 kJ/mol of atoms

abc: 3.955 3.955 5.993
angles: 70.73 70.73 60.00
Positions (direct):
1 Ac 0.500 0.500 0.500
2 Ir 0.299 0.299 0.103
3 Ir 0.701 0.701 0.897
4 C 0.000 0.000 0.000

=====

Record 9
This record from the Alexandria database describes a geometry-optimized Li6PrAl12 structure. The functional is PBE-GGA.

Properties
- Raw total energy: -3.154 eV/atom
- Energy of formation: 6.3 kJ/mol of atoms

abc: 7.275 7.275 7.275
angles: 103.14 103.14 103.14
Positions (direct):
1 Li 0.710 0.283 0.283
2 Li 0.283 0.283 0.710
3 Li 0.283 0.710 0.283
4 Li 0.717 0.717 0.290
5 Li 0.290 0.717 0.717
6 Li 0.717 0.290 0.717
7 Pr 0.000 0.000 0.000
8 Al 0.887 0.113 0.500
9 Al 0.865 0.607 0.607
10 Al 0.607 0.607 0.865
11 Al 0.393 0.135 0.393
12 Al 0.393 0.393 0.135
13 Al 0.135 0.393 0.393
14 Al 0.113 0.500 0.887
15 Al 0.500 0.887 0.113
16 Al 0.113 0.887 0.500
17 Al 0.887 0.500 0.113
18 Al 0.500 0.113 0.887
19 Al 0.607 0.865 0.607

=====

Record 10
This record from the Alexandria database describes a geometry-optimized PmHfSe2 structure. The functional is PBE-GGA.

Properties
- Raw total energy: -6.432 eV/atom
- E_form (uncorrected): -1.014 eV per atom

abc: 3.743 3.743 9.352
angles: 78.46 78.46 60.00
Positions (direct):
1 Hf 0.500 0.500 0.500
2 Se 0.107 0.107 0.678
3 Se 0.893 0.893 0.322
4 Pm 0.000 0.000 0.000

=====

Record 11
This record from the Alexandria database describes a geometry-optimized Cs2UInTe5 structure. The functional is PBE-GGA.

Properties
- Raw total energy: -4.209 eV/atom
- E_form (uncorrected): -0.716 eV per atom

abc: 4.529 11.484 16.121
angles: 90.00 90.00 101.37
Positions (direct):
1 Cs 0.872 0.744 0.826
2 Cs 0.130 0.260 0.690
3 Cs 0.128 0.256 0.326
4 Cs 0.870 0.740 0.190
5 U 0.803 0.605 0.522
6 U 0.197 0.395 0.022
7 In 0.566 0.131 0.926
8 In 0.434 0.869 0.426
9 Te 0.323 0.646 0.008
10 Te 0.693 0.386 0.891
11 Te 0.506 0.011 0.780
12 Te 0.304 0.609 0.644
13 Te 0.941 0.883 0.538
14 Te 0.677 0.354 0.508
15 Te 0.307 0.614 0.391
16 Te 0.494 0.989 0.280
17 Te 0.696 0.391 0.144
18 Te 0.059 0.117 0.038

=====

Record 12
This record from the Alexandria database describes a geometry-optimized ZrTi2InO structure. The functional is PBE-GGA.

Properties
- Raw total energy: -7.537 eV/atom
- E_form (uncorrected): -1.130 eV per atom

abc: 4.171 4.171 4.647
angles: 90.00 90.00 90.00
Positions (direct):
1 Ti 0.000 0.500 0.000
2 Ti 0.500 0.000 0.000
3 O 0.000 0.000 0.000
4 Zr 0.000 0.000 0.500
5 In 0.500 0.500 0.500

=====

Copy entry 9 word for word.
This record from the Alexandria database describes a geometry-optimized Li6PrAl12 structure. The functional is PBE-GGA.

Properties
- Raw total energy: -3.154 eV/atom
- Energy of formation: 6.3 kJ/mol of atoms

abc: 7.275 7.275 7.275
angles: 103.14 103.14 103.14
Positions (direct):
1 Li 0.710 0.283 0.283
2 Li 0.283 0.283 0.710
3 Li 0.283 0.710 0.283
4 Li 0.717 0.717 0.290
5 Li 0.290 0.717 0.717
6 Li 0.717 0.290 0.717
7 Pr 0.000 0.000 0.000
8 Al 0.887 0.113 0.500
9 Al 0.865 0.607 0.607
10 Al 0.607 0.607 0.865
11 Al 0.393 0.135 0.393
12 Al 0.393 0.393 0.135
13 Al 0.135 0.393 0.393
14 Al 0.113 0.500 0.887
15 Al 0.500 0.887 0.113
16 Al 0.113 0.887 0.500
17 Al 0.887 0.500 0.113
18 Al 0.500 0.113 0.887
19 Al 0.607 0.865 0.607

=====

Please write out number 6 again, unchanged.
This record from the Alexandria database describes a geometry-optimized SrH structure. The functional is PBE-GGA.

Properties
- Raw total energy: -2.877 eV/atom

abc: 7.582 7.582 7.582
angles: 90.00 90.00 90.00
Positions (direct):
1 Sr 0.318 0.318 0.318
2 Sr 0.318 0.682 0.682
3 Sr 0.682 0.318 0.682
4 Sr 0.682 0.682 0.318
5 Sr 0.818 0.818 0.818
6 Sr 0.818 0.182 0.182
7 Sr 0.182 0.818 0.182
8 Sr 0.182 0.182 0.818
9 H 0.133 0.133 0.133
10 H 0.133 0.867 0.867
11 H 0.867 0.133 0.867
12 H 0.867 0.867 0.133
13 H 0.633 0.633 0.633
14 H 0.633 0.367 0.367
15 H 0.367 0.633 0.367
16 H 0.367 0.367 0.633

=====

Which value of raw total energy does entry 11 give?
-4.209 eV/atom

=====

Repeat the fourth record exactly.
This record from the Alexandria database describes a geometry-optimized Zr3TiFe structure. The functional is PBE-GGA.

Properties
- Raw total energy: -7.126 eV/atom
- Energy of formation: 122.9 kJ/mol of atoms

abc: 4.840 4.840 4.840
angles: 90.00 90.00 90.00
Positions (direct):
1 Fe 0.500 0.500 0.500
2 Zr 0.000 0.500 0.000
3 Zr 0.000 0.000 0.500
4 Zr 0.500 0.000 0.000
5 Ti 0.000 0.000 0.000